A geometry-optimized SrDyGe2 structure. Source: the Alexandria database, functional PBE.

Values from the calculation:
* DFT formation energy: -0.461 eV per atom
* E_tot: -4.341 eV/atom
* space-group type: P-1
* D(E_F): 2.40 states/eV/cell
* spin magnetization: 0.00 μB per atom

Cell: 4.947 5.418 5.404 Å, 54.24 62.89 62.94°
Fractional positions:
Sr: 0.250 0.250 0.250
Ge: 0.000 0.000 0.000
Ge: 0.500 0.500 0.500
Dy: 0.750 0.750 0.750